# CsAgOs2 PBE-GGA optimized geometry
data_CsAgOs2
_chemical_formula_sum 'Cs4 Ag4 Os8'
_cell_length_a 6.7217
_cell_length_b 6.7217
_cell_length_c 6.7217
_cell_angle_alpha 90.00
_cell_angle_beta 90.00
_cell_angle_gamma 90.00
_symmetry_space_group_name_H-M 'F m -3 m'
_symmetry_Int_Tables_number 225
_symmetry_space_group_name_Hall '-F 4 2 3'
loop_
_atom_site_label
_atom_site_type_symbol
_atom_site_fract_x
_atom_site_fract_y
_atom_site_fract_z
_atom_site_occupancy
Cs1 Cs 0.0000 0.0000 0.0000 1
Ag1 Ag 0.0000 0.0000 0.5000 1
Os1 Os 0.2500 0.2500 0.2500 1
# DOS at the Fermi energy   28.149 states/eV/cell
# DFT formation energy   2.369 eV/atom